Record 1
First-principles (PBE) data for a geometry-optimized AlSi2Cl structure, as listed in Alexandria via LeMat-Bulk.

Formation energy without anion corrections, eV per atom: -0.26
Space group: P1 (1)
ΔE to the lowest computed polymorph, meV/atom: 142
Spin magnetization, μB/f.u.: 0.00
E, eV per atom: -4.37

a = 3.1255 Å, b = 4.1251 Å, c = 14.6201 Å
α = 88.71°, β = 87.35°, γ = 68.17°
Sites, in units of the cell vectors:
1 Al 0.0000 0.0000 0.0000
2 Al 0.3279 0.5473 0.4925
3 Si 0.0867 0.9441 0.7085
4 Si 0.2888 0.4478 0.9160
5 Si 0.5938 0.9898 0.5772
6 Si 0.7978 0.5026 0.7856
7 Cl 0.5001 0.9527 0.1185
8 Cl 0.8800 0.4937 0.3740

Record 2
First-principles (PBE) data for a geometry-optimized AlSiCl2 structure, as listed in Alexandria via LeMat-Bulk.

Formation energy without anion corrections, eV per atom: -0.24
Space group: R3m (160)
ΔE to the lowest computed polymorph, meV/atom: 361
Spin magnetization, μB/f.u.: 0.00
E, eV per atom: -3.45

a = 3.5771 Å, b = 3.5771 Å, c = 25.2778 Å
α = 90.00°, β = 90.00°, γ = 120.00°
Sites, in units of the cell vectors:
1 Al 0.0000 0.0000 0.0000
2 Al 0.3333 0.6667 0.6667
3 Al 0.6667 0.3333 0.3333
4 Si 0.0000 0.0000 0.7244
5 Si 0.3333 0.6667 0.3911
6 Si 0.6667 0.3333 0.0578
7 Cl 0.0000 0.0000 0.2707
8 Cl 0.0000 0.0000 0.4566
9 Cl 0.3333 0.6667 0.1233
10 Cl 0.3333 0.6667 0.9374
11 Cl 0.6667 0.3333 0.6041
12 Cl 0.6667 0.3333 0.7900

Record 3
First-principles (PBE) data for a geometry-optimized AlSi2Cl structure, as listed in Alexandria via LeMat-Bulk.

Formation energy without anion corrections, eV per atom: 0.03
Space group: Cmmm (65)
ΔE to the lowest computed polymorph, meV/atom: 436
Spin magnetization, μB/f.u.: 0.00
E, eV per atom: -4.08

a = 4.6990 Å, b = 7.7682 Å, c = 4.2972 Å
α = 90.00°, β = 90.00°, γ = 90.00°
Sites, in units of the cell vectors:
1 Al 0.0000 0.0000 0.0000
2 Al 0.5000 0.5000 0.0000
3 Si 0.0000 0.1828 0.5000
4 Si 0.0000 0.8172 0.5000
5 Si 0.5000 0.3172 0.5000
6 Si 0.5000 0.6828 0.5000
7 Cl 0.0000 0.5000 0.0000
8 Cl 0.5000 0.0000 0.0000

Record 4
First-principles (PBE) data for a geometry-optimized AlSiCl2 structure, as listed in Alexandria via LeMat-Bulk.

Formation energy without anion corrections, eV per atom: -0.34
Space group: Cm (8)
ΔE to the lowest computed polymorph, meV/atom: 262
Spin magnetization, μB/f.u.: 0.00
E, eV per atom: -3.55

a = 13.6193 Å, b = 3.1672 Å, c = 5.2095 Å
α = 90.00°, β = 102.38°, γ = 90.00°
Sites, in units of the cell vectors:
1 Al 0.0000 0.0000 0.0000
2 Al 0.5000 0.5000 0.0000
3 Si 0.3638 0.0000 0.7227
4 Si 0.8638 0.5000 0.7227
5 Cl 0.1327 0.5000 0.0732
6 Cl 0.4519 0.0000 0.3886
7 Cl 0.6327 0.0000 0.0732
8 Cl 0.9519 0.5000 0.3886

Record 5
First-principles (PBE) data for a geometry-optimized AlSi2Cl structure, as listed in Alexandria via LeMat-Bulk.

Formation energy without anion corrections, eV per atom: 0.38
Space group: C2/m (12)
ΔE to the lowest computed polymorph, meV/atom: 789
Spin magnetization, μB/f.u.: 0.00
E, eV per atom: -3.72

a = 4.9636 Å, b = 10.2049 Å, c = 2.9315 Å
α = 90.00°, β = 106.36°, γ = 90.00°
Sites, in units of the cell vectors:
1 Al 0.0000 0.0000 0.0000
2 Al 0.5000 0.5000 0.0000
3 Si 0.2500 0.2500 0.5000
4 Si 0.2500 0.7500 0.5000
5 Si 0.7500 0.2500 0.5000
6 Si 0.7500 0.7500 0.5000
7 Cl 0.0000 0.5000 0.0000
8 Cl 0.5000 0.0000 0.0000

Record 6
First-principles (PBE) data for a geometry-optimized AlSiCl2 structure, as listed in Alexandria via LeMat-Bulk.

Formation energy without anion corrections, eV per atom: 0.19
Space group: Pmmm (47)
ΔE to the lowest computed polymorph, meV/atom: 786
Spin magnetization, μB/f.u.: 0.00
E, eV per atom: -3.03

a = 3.1321 Å, b = 4.0975 Å, c = 6.4515 Å
α = 90.00°, β = 90.00°, γ = 90.00°
Sites, in units of the cell vectors:
1 Al 0.0000 0.0000 0.0000
2 Si 0.0000 0.0000 0.5000
3 Cl 0.5000 0.5000 0.2538
4 Cl 0.5000 0.5000 0.7462

Record 7
First-principles (PBE) data for a geometry-optimized AlSi2Cl structure, as listed in Alexandria via LeMat-Bulk.

Formation energy without anion corrections, eV per atom: -0.29
Space group: C2/m (12)
ΔE to the lowest computed polymorph, meV/atom: 113
Spin magnetization, μB/f.u.: 0.00
E, eV per atom: -4.40

a = 8.0614 Å, b = 7.3138 Å, c = 6.1235 Å
α = 90.00°, β = 110.07°, γ = 90.00°
Sites, in units of the cell vectors:
1 Al 0.0000 0.2379 0.0000
2 Al 0.0000 0.7621 0.0000
3 Al 0.5000 0.2621 0.0000
4 Al 0.5000 0.7379 0.0000
5 Si 0.1143 0.3347 0.4115
6 Si 0.1143 0.6653 0.4115
7 Si 0.3857 0.1653 0.5885
8 Si 0.3857 0.8347 0.5885
9 Si 0.6143 0.1653 0.4115
10 Si 0.6143 0.8347 0.4115
11 Si 0.8857 0.3347 0.5885
12 Si 0.8857 0.6653 0.5885
13 Cl 0.1969 0.0000 0.9810
14 Cl 0.3031 0.5000 0.0190
15 Cl 0.6969 0.5000 0.9810
16 Cl 0.8031 0.0000 0.0190

Record 8
First-principles (PBE) data for a geometry-optimized AlSi2Cl structure, as listed in Alexandria via LeMat-Bulk.

Formation energy without anion corrections, eV per atom: -0.19
Space group: P1 (1)
ΔE to the lowest computed polymorph, meV/atom: 215
Spin magnetization, μB/f.u.: 0.00
E, eV per atom: -4.30

a = 5.2235 Å, b = 6.0603 Å, c = 7.2369 Å
α = 108.71°, β = 94.79°, γ = 114.05°
Sites, in units of the cell vectors:
1 Al 0.0000 0.0000 0.0000
2 Al 0.2522 0.7794 0.3949
3 Si 0.0715 0.4446 0.0480
4 Si 0.1674 0.7553 0.7203
5 Si 0.4500 0.6395 0.9014
6 Si 0.7706 0.4785 0.8045
7 Cl 0.3023 0.1363 0.3146
8 Cl 0.7199 0.9037 0.4886